No. 1
! Y2CoF8 (GGA+U, relaxed); values from VASP
! - Spin magnetization: 3.000 μB per formula unit
! - VASP energy: -72.02 eV per formula unit
! - Theoretical density: 4.27 g cm⁻³
&SYSTEM
  ibrav = 0, nat = 11, ntyp = 3
/
ATOMIC_SPECIES
F 19.00 F.upf
Co 58.93 Co.upf
Y 88.91 Y.upf
CELL_PARAMETERS angstrom
4.533 0.008 1.155
1.124 5.634 1.578
0.017 0.127 5.956
ATOMIC_POSITIONS angstrom
F 1.227 0.785 1.297
F 1.289 0.336 4.309
F 1.602 3.327 4.589
F 4.072 2.442 4.101
F 4.385 5.433 4.380
Co 0.000 0.000 0.000
F 1.970 3.722 1.617
Y 3.547 3.896 5.797
F 4.447 4.984 7.392
Y 2.127 1.873 2.893
F 3.705 2.047 7.072

No. 2
! YCo2F (GGA+U, relaxed); values from VASP
! - Spin magnetization: 3.673 μB per formula unit
! - VASP energy: -15.96 eV per formula unit
! - E above lowest polymorph: 0.6752 eV per atom
! - Theoretical density: 5.68 g cm⁻³
&SYSTEM
  ibrav = 0, nat = 4, ntyp = 3
/
ATOMIC_SPECIES
Y 88.91 Y.upf
F 19.00 F.upf
Co 58.93 Co.upf
CELL_PARAMETERS angstrom
2.578 -0.106 3.729
-1.517 -2.053 3.748
1.863 -3.905 1.358
ATOMIC_POSITIONS angstrom
Y 1.462 -3.032 4.418
F 0.000 0.000 0.000
Co 0.731 -1.516 2.209
Co 2.193 -4.549 6.627

No. 3
! Y2CoF (GGA+U, relaxed); values from VASP
! - Spin magnetization: 0.000 μB per formula unit
! - VASP energy: -23.01 eV per formula unit
! - E above lowest polymorph: 0.0000 eV per atom
! - Theoretical density: 4.75 g cm⁻³
&SYSTEM
  ibrav = 0, nat = 8, ntyp = 3
/
ATOMIC_SPECIES
Co 58.93 Co.upf
F 19.00 F.upf
Y 88.91 Y.upf
CELL_PARAMETERS angstrom
-2.031 5.119 -0.430
-3.144 -0.873 4.457
1.724 4.122 5.446
ATOMIC_POSITIONS angstrom
Co 0.000 0.000 0.000
F -2.588 2.123 2.013
Y -1.189 4.015 1.659
F -2.004 2.686 5.958
Y -0.713 4.666 5.687
Y -1.830 1.231 4.085
Y -3.170 6.825 7.516
Co -1.447 5.682 3.515

No. 4
! YZrCo2F (GGA+U, relaxed); values from VASP
! - Spin magnetization: 5.110 μB per formula unit
! - VASP energy: -27.29 eV per formula unit
! - Theoretical density: 5.64 g cm⁻³
&SYSTEM
  ibrav = 0, nat = 5, ntyp = 4
/
ATOMIC_SPECIES
Co 58.93 Co.upf
F 19.00 F.upf
Y 88.91 Y.upf
Zr 91.22 Zr.upf
CELL_PARAMETERS angstrom
-4.663 0.377 -0.330
0.146 -1.625 -3.920
-0.474 -4.316 1.771
ATOMIC_POSITIONS angstrom
Co -0.237 -2.158 0.886
Co -2.331 0.189 -0.165
F 0.000 0.000 0.000
Y -2.495 -2.782 -1.239
Zr 0.073 -0.812 -1.960

No. 5
! Zn2Co2F7 (GGA+U, relaxed); values from VASP
! - Spin magnetization: 5.179 μB per formula unit
! - VASP energy: -47.07 eV per formula unit
! - Theoretical density: 4.00 g cm⁻³
&SYSTEM
  ibrav = 0, nat = 11, ntyp = 3
/
ATOMIC_SPECIES
F 19.00 F.upf
Zn 65.41 Zn.upf
Co 58.93 Co.upf
CELL_PARAMETERS angstrom
5.464 -0.041 -0.047
-0.401 5.491 -0.439
-0.401 -1.166 5.384
ATOMIC_POSITIONS angstrom
F 3.695 1.845 2.109
Zn 2.680 3.148 3.599
F 2.732 -0.020 -0.023
F 0.963 2.312 0.075
Co -0.401 3.471 1.327
Co -0.401 0.854 3.617
Zn 1.983 1.136 1.298
F 3.701 4.517 2.596
F 0.969 2.439 2.789
F 0.963 -0.233 2.301
F 3.701 1.972 4.822

No. 6
! ZnCo3F8 (GGA+U, relaxed); values from VASP
! - Spin magnetization: 9.000 μB per formula unit
! - VASP energy: -56.91 eV per formula unit
! - Theoretical density: 3.99 g cm⁻³
&SYSTEM
  ibrav = 0, nat = 12, ntyp = 3
/
ATOMIC_SPECIES
Zn 65.41 Zn.upf
F 19.00 F.upf
Co 58.93 Co.upf
CELL_PARAMETERS angstrom
5.570 -0.139 0.000
-2.734 4.855 0.000
0.000 0.000 6.151
ATOMIC_POSITIONS angstrom
Zn 1.418 2.358 3.075
F -0.344 3.418 0.000
Co -1.367 2.428 1.544
F 1.801 3.673 4.609
F 1.035 1.044 4.609
Co 2.785 -0.069 4.606
F 0.437 1.404 1.542
F 3.203 1.285 3.075
Co 1.418 2.358 0.000
F 3.181 1.298 0.000
F 2.399 3.313 1.542
F -0.367 3.432 3.075

No. 7
! ZnCo2F (GGA+U, relaxed); values from VASP
! - Spin magnetization: 4.094 μB per formula unit
! - VASP energy: -13.70 eV per formula unit
! - E above lowest polymorph: 0.0000 eV per atom
! - Theoretical density: 6.16 g cm⁻³
&SYSTEM
  ibrav = 0, nat = 8, ntyp = 3
/
ATOMIC_SPECIES
Co 58.93 Co.upf
Zn 65.41 Zn.upf
F 19.00 F.upf
CELL_PARAMETERS angstrom
-1.056 -6.257 0.553
6.107 -1.153 -1.395
3.146 -3.579 2.190
ATOMIC_POSITIONS angstrom
Co 4.430 -2.645 -0.233
Zn 2.308 -6.771 1.161
F 2.526 -3.705 -0.421
F 5.890 -4.219 0.187
Co 0.932 -4.703 0.697
Co 6.539 -9.124 0.961
Co 4.495 -5.509 1.272
Zn 0.000 0.000 0.000

No. 8
! Zn2CoF8 (GGA+U, relaxed); values from VASP
! - Spin magnetization: 1.062 μB per formula unit
! - VASP energy: -43.49 eV per formula unit
! - Theoretical density: 4.39 g cm⁻³
&SYSTEM
  ibrav = 0, nat = 11, ntyp = 3
/
ATOMIC_SPECIES
F 19.00 F.upf
Co 58.93 Co.upf
Zn 65.41 Zn.upf
CELL_PARAMETERS angstrom
-2.538 0.247 3.465
-2.537 -4.690 -1.727
2.844 -4.306 2.188
ATOMIC_POSITIONS angstrom
F -2.070 -3.667 -0.290
F -3.476 -5.319 1.804
Co 0.000 0.000 0.000
F -0.161 -5.082 4.216
Zn -0.475 -3.324 0.979
F -0.496 -5.335 1.205
F -1.735 -3.414 2.720
Zn -1.757 -5.425 2.947
F -1.578 -7.413 2.897
F 1.244 -3.430 2.122
F -0.653 -1.337 1.029

No. 9
! Zn3CoF (GGA+U, relaxed); values from VASP
! - Spin magnetization: 1.439 μB per formula unit
! - VASP energy: -9.45 eV per formula unit
! - E above lowest polymorph: 0.2060 eV per atom
! - Theoretical density: 4.59 g cm⁻³
&SYSTEM
  ibrav = 0, nat = 5, ntyp = 3
/
ATOMIC_SPECIES
Zn 65.41 Zn.upf
F 19.00 F.upf
Co 58.93 Co.upf
CELL_PARAMETERS angstrom
-4.035 -2.152 -0.708
-0.441 -0.672 4.558
-2.222 4.042 0.381
ATOMIC_POSITIONS angstrom
Zn -2.018 -1.076 -0.354
Zn -0.220 -0.336 2.279
F -3.349 0.608 2.116
Zn -1.111 2.021 0.191
Co 0.000 0.000 0.000

No. 10
! Zn2CoF6 (GGA+U, relaxed); values from VASP
! - Spin magnetization: 3.000 μB per formula unit
! - VASP energy: -38.44 eV per formula unit
! - E above lowest polymorph: 0.0237 eV per atom
! - Theoretical density: 4.54 g cm⁻³
&SYSTEM
  ibrav = 0, nat = 18, ntyp = 3
/
ATOMIC_SPECIES
Zn 65.41 Zn.upf
F 19.00 F.upf
Co 58.93 Co.upf
CELL_PARAMETERS angstrom
5.143 -0.132 -0.128
1.361 6.549 -0.628
1.361 -0.416 6.566
ATOMIC_POSITIONS angstrom
Zn 3.459 2.569 1.154
F 6.339 5.723 1.654
F 6.264 3.032 4.078
Zn 0.888 1.302 2.594
F 4.097 4.096 0.079
Co 5.218 5.757 -0.009
Zn 6.977 4.698 3.215
F 3.008 4.914 5.441
F 4.172 1.760 2.847
F 4.857 1.087 0.368
Co 2.647 0.244 5.818
F 1.601 2.969 1.731
F 3.768 1.905 5.730
F 1.526 0.277 4.155
Zn 4.406 3.432 4.655
F 3.693 4.241 2.962
F 2.286 0.469 1.138
F 5.579 5.531 4.671

No. 11
! ZnCo2F (GGA+U, relaxed); values from VASP
! - Spin magnetization: 3.913 μB per formula unit
! - VASP energy: -12.31 eV per formula unit
! - E above lowest polymorph: 0.3460 eV per atom
! - Theoretical density: 6.46 g cm⁻³
&SYSTEM
  ibrav = 0, nat = 4, ntyp = 3
/
ATOMIC_SPECIES
Zn 65.41 Zn.upf
Co 58.93 Co.upf
F 19.00 F.upf
CELL_PARAMETERS angstrom
0.000 2.962 2.962
2.962 0.000 2.962
2.962 2.962 0.000
ATOMIC_POSITIONS angstrom
Zn 2.962 2.962 2.962
Co 4.443 4.443 4.443
F 0.000 0.000 0.000
Co 1.481 1.481 1.481

No. 12
! Zn2CoF6 (GGA+U, relaxed); values from VASP
! - Spin magnetization: 3.000 μB per formula unit
! - VASP energy: -38.65 eV per formula unit
! - E above lowest polymorph: 0.0000 eV per atom
! - Theoretical density: 4.30 g cm⁻³
&SYSTEM
  ibrav = 0, nat = 9, ntyp = 3
/
ATOMIC_SPECIES
Zn 65.41 Zn.upf
F 19.00 F.upf
Co 58.93 Co.upf
CELL_PARAMETERS angstrom
-4.959 -1.567 -1.152
-2.822 -2.755 3.581
-4.300 2.639 2.604
ATOMIC_POSITIONS angstrom
Zn -2.845 -0.839 1.074
F -7.556 -1.902 1.898
Co -8.865 -1.730 3.569
Zn -6.121 -0.649 2.601
F -7.603 -0.226 4.044
F -7.079 1.014 1.723
F -5.075 -1.762 3.940
F -4.850 -0.392 1.039
F -5.219 0.942 3.655

No. 13
! ZnCoF2 (GGA+U, relaxed); values from VASP
! - Spin magnetization: 2.515 μB per formula unit
! - VASP energy: -13.16 eV per formula unit
! - E above lowest polymorph: 0.6083 eV per atom
! - Theoretical density: 5.48 g cm⁻³
&SYSTEM
  ibrav = 0, nat = 4, ntyp = 3
/
ATOMIC_SPECIES
F 19.00 F.upf
Zn 65.41 Zn.upf
Co 58.93 Co.upf
CELL_PARAMETERS angstrom
-1.337 0.240 3.882
-4.035 -0.078 0.794
-1.677 -3.293 1.805
ATOMIC_POSITIONS angstrom
F -5.287 -2.349 4.861
Zn -3.524 -1.566 3.241
F -1.762 -0.783 1.620
Co 0.000 0.000 0.000

No. 14
! ZnCoF2 (GGA+U, relaxed); values from VASP
! - Spin magnetization: 2.898 μB per formula unit
! - VASP energy: -15.59 eV per formula unit
! - E above lowest polymorph: 0.0000 eV per atom
! - Theoretical density: 4.12 g cm⁻³
&SYSTEM
  ibrav = 0, nat = 4, ntyp = 3
/
ATOMIC_SPECIES
Zn 65.41 Zn.upf
F 19.00 F.upf
Co 58.93 Co.upf
CELL_PARAMETERS angstrom
7.038 -4.176 0.230
6.689 -3.799 -2.803
7.959 -1.565 -1.112
ATOMIC_POSITIONS angstrom
Zn 0.000 0.000 0.000
F 19.022 -8.369 -3.233
Co 10.843 -4.770 -1.843
F 2.664 -1.172 -0.453

No. 15
! ZnCoF2 (GGA+U, relaxed); values from VASP
! - Spin magnetization: 3.000 μB per formula unit
! - VASP energy: -15.03 eV per formula unit
! - E above lowest polymorph: 0.1405 eV per atom
! - Theoretical density: 3.23 g cm⁻³
&SYSTEM
  ibrav = 0, nat = 8, ntyp = 3
/
ATOMIC_SPECIES
Zn 65.41 Zn.upf
F 19.00 F.upf
Co 58.93 Co.upf
CELL_PARAMETERS angstrom
5.990 0.000 0.000
0.000 5.990 0.000
2.995 2.995 4.655
ATOMIC_POSITIONS angstrom
Zn 5.990 2.995 2.327
F 4.493 5.592 3.491
Co 2.995 5.990 2.327
F 2.597 4.493 1.164
Zn 0.000 0.000 0.000
F 3.393 1.498 1.164
Co 2.995 2.995 0.000
F 7.488 6.388 3.491

No. 16
! Zn3CoF (GGA+U, relaxed); values from VASP
! - Spin magnetization: 1.993 μB per formula unit
! - VASP energy: -10.48 eV per formula unit
! - E above lowest polymorph: 0.0000 eV per atom
! - Theoretical density: 5.84 g cm⁻³
&SYSTEM
  ibrav = 0, nat = 5, ntyp = 3
/
ATOMIC_SPECIES
Zn 65.41 Zn.upf
F 19.00 F.upf
Co 58.93 Co.upf
CELL_PARAMETERS angstrom
-1.308 -3.651 -1.789
2.817 0.541 -3.164
2.931 -2.149 2.243
ATOMIC_POSITIONS angstrom
Zn -0.654 -1.825 -0.895
Zn 1.466 -1.075 1.121
F 0.000 0.000 0.000
Zn 1.409 0.271 -1.582
Co 2.220 -2.629 -1.355

No. 17
! ZrCoF2 (GGA+U, relaxed); values from VASP
! - Spin magnetization: 2.328 μB per formula unit
! - VASP energy: -23.36 eV per formula unit
! - E above lowest polymorph: 0.0000 eV per atom
! - Theoretical density: 5.06 g cm⁻³
&SYSTEM
  ibrav = 0, nat = 4, ntyp = 3
/
ATOMIC_SPECIES
Co 58.93 Co.upf
F 19.00 F.upf
Zr 91.22 Zr.upf
CELL_PARAMETERS angstrom
-5.285 -2.234 6.397
-3.270 -0.780 7.908
-5.442 0.662 6.618
ATOMIC_POSITIONS angstrom
Co 0.000 0.000 0.000
F -12.524 -2.105 18.721
Zr -6.999 -1.176 10.462
F -1.473 -0.248 2.202

No. 18
! ZrCoF2 (GGA+U, relaxed); values from VASP
! - Spin magnetization: 1.253 μB per formula unit
! - VASP energy: -22.89 eV per formula unit
! - E above lowest polymorph: 0.1191 eV per atom
! - Theoretical density: 5.13 g cm⁻³
&SYSTEM
  ibrav = 0, nat = 4, ntyp = 3
/
ATOMIC_SPECIES
F 19.00 F.upf
Co 58.93 Co.upf
Zr 91.22 Zr.upf
CELL_PARAMETERS angstrom
1.968 0.000 6.051
-0.984 1.705 6.051
-0.984 -1.705 6.051
ATOMIC_POSITIONS angstrom
F 0.000 0.000 15.999
Co 0.000 0.000 9.077
Zr 0.000 0.000 0.000
F 0.000 0.000 2.156

No. 19
! Zr3CoF6 (GGA+U, relaxed); values from VASP
! - Spin magnetization: 0.000 μB per formula unit
! - VASP energy: -66.30 eV per formula unit
! - E above lowest polymorph: 0.0000 eV per atom
! - Theoretical density: 4.98 g cm⁻³
&SYSTEM
  ibrav = 0, nat = 10, ntyp = 3
/
ATOMIC_SPECIES
F 19.00 F.upf
Zr 91.22 Zr.upf
Co 58.93 Co.upf
CELL_PARAMETERS angstrom
-4.908 1.293 1.704
-0.486 -5.324 0.314
2.617 0.785 4.613
ATOMIC_POSITIONS angstrom
F 0.087 -2.962 2.229
F -3.023 -1.154 1.813
F 0.246 -2.093 4.817
Zr 1.309 0.392 2.306
Zr -2.454 0.647 0.852
F -2.479 -3.582 2.945
Co 0.000 0.000 0.000
Zr -0.243 -2.662 0.157
F -2.863 -0.284 4.402
F -0.298 0.336 3.686

No. 20
! ZrCoF2 (GGA+U, relaxed); values from VASP
! - Spin magnetization: 0.001 μB per formula unit
! - VASP energy: -20.23 eV per formula unit
! - E above lowest polymorph: 0.7840 eV per atom
! - Theoretical density: 6.47 g cm⁻³
&SYSTEM
  ibrav = 0, nat = 4, ntyp = 3
/
ATOMIC_SPECIES
Co 58.93 Co.upf
Zr 91.22 Zr.upf
F 19.00 F.upf
CELL_PARAMETERS angstrom
3.031 -2.173 1.672
-0.260 -1.209 3.895
-0.563 -3.951 0.880
ATOMIC_POSITIONS angstrom
Co 0.000 0.000 0.000
Zr 1.104 -3.666 3.224
F 1.656 -5.499 4.836
F 0.552 -1.833 1.612